{"formula": "VMo7", "functional": "PBE-GGA", "state": "relaxed", "lattice": [[6.294, -0.002, -0.011], [0.011, 6.294, -0.011], [0.002, 0.002, 6.294]], "species": ["Mo", "Mo", "Mo", "V", "Mo", "V", "Mo", "Mo", "Mo", "Mo", "Mo", "Mo", "Mo", "Mo", "Mo", "Mo"], "fractional_positions": [[0.123, 0.123, 0.373], [0.877, 0.877, 0.627], [0.374, 0.374, 0.123], [0.125, 0.125, 0.875], [0.626, 0.123, 0.374], [0.875, 0.875, 0.125], [0.123, 0.627, 0.877], [0.877, 0.374, 0.626], [0.373, 0.877, 0.123], [0.626, 0.626, 0.374], [0.626, 0.626, 0.877], [0.374, 0.877, 0.626], [0.374, 0.374, 0.626], [0.877, 0.373, 0.123], [0.123, 0.626, 0.374], [0.627, 0.123, 0.877]], "vol_a3_per_atom": 15.6, "total_energy_ev_per_atom": -10.679, "magmom_total_mub_per_cell": 0.000, "spacegroup": "R-3m"}